First-principles (GGA-PBE) data for crystalline RbZn2Sb2 at its relaxed geometry, as listed in OQMD.

Cell: 4.631 4.631 7.298 Å, 108.50 108.50 90.00°
Element x y z (fractional)
Rb: 0.000 0.000 0.000
Sb: 0.634 0.634 0.267
Zn: 0.250 0.750 0.500
Sb: 0.366 0.366 0.733
Zn: 0.750 0.250 0.500

Computed properties:
Calculated total energy = -12.7 eV per cell
Crystal system = tetragonal
Symmetry = I4/mmm